# LiTl2Re PBE relaxed
data_LiTl2Re
_cell_length_a 3.359
_cell_length_b 4.696
_cell_length_c 11.084
_cell_angle_alpha 90.00
_cell_angle_beta 90.00
_cell_angle_gamma 90.00
_space_group_name_H-M_alt 'C m m 2'
_space_group_IT_number 35
loop_
_space_group_symop_operation_xyz
'x,y,z'
'-x,-y,z'
'-x,y,z'
'x,-y,z'
'x+1/2,y+1/2,z'
'-x+1/2,-y+1/2,z'
'-x+1/2,y+1/2,z'
'x+1/2,-y+1/2,z'
loop_
_atom_site_label
_atom_site_type_symbol
_atom_site_fract_x
_atom_site_fract_y
_atom_site_fract_z
Li1 Li 0.000 0.000 0.000
Tl1 Tl 0.000 0.000 0.420
Tl2 Tl 0.000 0.500 0.756
Re1 Re 0.000 0.500 0.188
# E_tot, Ry per atom: -0.304
# ΔH_f (0 K), eV per atom: 0.6350

=====

# LiTl2Re PBE relaxed
data_LiTl2Re
_cell_length_a 3.975
_cell_length_b 3.975
_cell_length_c 9.688
_cell_angle_alpha 90.00
_cell_angle_beta 90.00
_cell_angle_gamma 90.00
_space_group_name_H-M_alt 'I -4 m 2'
_space_group_IT_number 119
_space_group_name_Hall 'I -4 -2'
loop_
_atom_site_label
_atom_site_type_symbol
_atom_site_fract_x
_atom_site_fract_y
_atom_site_fract_z
Li1 Li 0.000 0.000 0.000
Tl1 Tl 0.000 0.000 0.500
Tl2 Tl 0.000 0.500 0.250
Re1 Re 0.000 0.500 0.750
# E_tot, Ry per atom: -0.301
# ΔH_f (0 K), eV per atom: 0.6742

=====

# LiTl2Re PBE relaxed
data_LiTl2Re
_cell_length_a 4.444
_cell_length_b 4.444
_cell_length_c 18.709
_cell_angle_alpha 90.00
_cell_angle_beta 90.00
_cell_angle_gamma 90.00
_space_group_name_H-M_alt 'I -4 2 d'
_space_group_IT_number 122
_space_group_name_Hall 'I -4 2bw'
loop_
_atom_site_label
_atom_site_type_symbol
_atom_site_fract_x
_atom_site_fract_y
_atom_site_fract_z
Li1 Li 0.000 0.000 0.000
Tl1 Tl 0.241 0.250 0.625
Re1 Re 0.000 0.000 0.500
# E_tot, Ry per atom: -0.275
# ΔH_f (0 K), eV per atom: 1.0269